[1]
The following is a DFT calculation (PBE) of a relaxed structure of Ba6InP2I3. Values from VASP.

```
&SYSTEM
  ibrav = 0, nat = 12, ntyp = 4
/
ATOMIC_SPECIES
Ba 137.33 Ba.upf
In 114.82 In.upf
P 30.97 P.upf
I 126.90 I.upf
CELL_PARAMETERS angstrom
11.020 -2.384 0.000
11.020 2.384 0.000
-2.733 0.000 10.020
ATOMIC_POSITIONS crystal
Ba 0.019 0.019 0.253
Ba 0.321 0.321 0.444
Ba 0.335 0.335 0.872
Ba 0.665 0.665 0.128
Ba 0.679 0.679 0.556
Ba 0.981 0.981 0.747
In 0.500 0.500 0.000
P 0.170 0.170 0.342
P 0.830 0.830 0.658
I 0.165 0.165 0.831
I 0.500 0.500 0.500
I 0.835 0.835 0.169
```

Output
ΔE_f (raw), eV per formula unit: -14.33

***

[2]
The following is a DFT calculation (PBE) of a relaxed structure of NaCuH3. Values from VASP.

```
&SYSTEM
  ibrav = 0, nat = 20, ntyp = 3
/
ATOMIC_SPECIES
Na 22.99 Na.upf
Cu 63.55 Cu.upf
H 1.01 H.upf
CELL_PARAMETERS angstrom
6.400 0.000 0.000
0.000 6.413 0.000
-2.951 0.000 5.398
ATOMIC_POSITIONS crystal
Na 0.133 0.250 0.066
Na 0.133 0.250 0.566
Na 0.867 0.750 0.434
Na 0.867 0.750 0.934
Cu 0.319 0.626 0.409
Cu 0.319 0.874 0.909
Cu 0.681 0.126 0.091
Cu 0.681 0.374 0.591
H 0.057 0.540 0.278
H 0.057 0.960 0.778
H 0.309 0.749 0.154
H 0.309 0.751 0.654
H 0.397 0.130 0.949
H 0.397 0.370 0.449
H 0.603 0.630 0.551
H 0.603 0.870 0.051
H 0.691 0.249 0.346
H 0.691 0.251 0.846
H 0.943 0.040 0.222
H 0.943 0.460 0.722
```

***

[3]
The following is a DFT calculation (PBE) of a relaxed structure of SmDyCu2. Values from VASP.

```
&SYSTEM
  ibrav = 0, nat = 4, ntyp = 3
/
ATOMIC_SPECIES
Sm 150.36 Sm.upf
Dy 162.50 Dy.upf
Cu 63.55 Cu.upf
CELL_PARAMETERS angstrom
0.000 3.509 3.509
3.509 0.000 3.509
3.509 3.509 0.000
ATOMIC_POSITIONS crystal
Sm 0.000 0.000 0.000
Dy 0.500 0.500 0.500
Cu 0.250 0.250 0.250
Cu 0.750 0.750 0.750
```

***

[4]
The following is a DFT calculation (PBE) of a relaxed structure of SiTcNiRh. Values from VASP.

```
&SYSTEM
  ibrav = 0, nat = 4, ntyp = 4
/
ATOMIC_SPECIES
Si 28.09 Si.upf
Tc 98.00 Tc.upf
Ni 58.69 Ni.upf
Rh 102.91 Rh.upf
CELL_PARAMETERS angstrom
2.779 0.000 0.000
-1.390 2.407 0.000
0.000 0.000 7.898
ATOMIC_POSITIONS crystal
Si 0.000 0.000 0.000
Tc 0.667 0.333 0.247
Ni 0.667 0.333 0.789
Rh 0.000 0.000 0.515
```

Output
ΔE_f (raw), eV per formula unit: -0.72

***

no.,V (Å³ per cell),raw total energy (eV/atom)
1,526.5,-3.673
2,221.6,-3.078
3,86.4,-4.588
4,52.8,-7.410